Density functional theory data (GGA-PBEsol) for a relaxed SrLi2Ca crystal.

Cell: 5.7558 5.7558 4.0484 Å, 90.00 90.00 90.00°
Sites, in units of the cell vectors:
Sr: 0.0000 0.0000 0.0000
Li: 0.0000 0.5000 0.5000
Li: 0.5000 0.0000 0.5000
Ca: 0.5000 0.5000 0.0000

Summary:
The calculated density comes out at 1.75 g/cm3. For the density of states at the Fermi level, the calculation gives 0.9397 states/eV/atom. As for the space group: P4/mmm, No. 123. For the excess energy over the best structure of this formula in the dataset, the calculation gives 6.5 meV/atom. The value obtained for the formation energy is 0.031 eV per atom.

Density functional theory data (GGA-PBEsol) for a relaxed LiNi2Br crystal.

Cell: 4.1887 4.1887 4.1887 Å, 60.00 60.00 60.00°
Sites, in units of the cell vectors:
Li: 0.0000 0.0000 0.0000
Ni: 0.5000 0.5000 0.5000
Ni: 0.7500 0.7500 0.7500
Br: 0.2500 0.2500 0.2500

Summary:
The calculated density comes out at 6.53 g/cm3. For the density of states at the Fermi level, the calculation gives 1.7403 states/eV/atom. As for the space group: F-43m, No. 216. For the excess energy over the best structure of this formula in the dataset, the calculation gives 0.0 meV/atom. The formation energy from raw total energies comes out at 0.316 eV per atom.

Density functional theory data (GGA-PBEsol) for a relaxed Li4FeSi2O7 crystal.

Cell: 5.2616 5.2616 6.7334 Å, 98.97 98.97 50.13°
Sites, in units of the cell vectors:
Li: 0.1483 0.1483 0.4342
Li: 0.2921 0.2820 0.8551
Li: 0.7180 0.7079 0.1449
Li: 0.8517 0.8517 0.5658
Fe: 0.0117 0.9883 0.0000
Si: 0.4482 0.4018 0.2905
Si: 0.5982 0.5518 0.7095
O: 0.1499 0.5879 0.1111
O: 0.3267 0.6733 0.5000
O: 0.4121 0.8501 0.8889
O: 0.5198 0.0728 0.3462
O: 0.6768 0.2177 0.7744
O: 0.7823 0.3232 0.2256
O: 0.9272 0.4802 0.6538

Summary:
The calculated density comes out at 2.97 g/cm3. For the density of states at the Fermi level, the calculation gives 0.1912 states/eV/atom. As for the space group: C2, No. 5. For the excess energy over the best structure of this formula in the dataset, the calculation gives 7.3 meV/atom. The formation energy from raw total energies comes out at -2.284 eV per atom.

Density functional theory data (GGA-PBEsol) for a relaxed TcAg crystal.

Cell: 6.1879 6.1879 3.9161 Å, 90.00 90.00 154.91°
Sites, in units of the cell vectors:
Tc: 0.2049 0.7951 0.7500
Tc: 0.7951 0.2049 0.2500
Ag: 0.4280 0.5720 0.7500
Ag: 0.5720 0.4280 0.2500

Summary:
The calculated density comes out at 10.75 g/cm3. For the density of states at the Fermi level, the calculation gives 0.9772 states/eV/atom. As for the space group: Cmcm, No. 63. For the excess energy over the best structure of this formula in the dataset, the calculation gives 257.2 meV/atom. The value obtained for the formation energy is 0.524 eV per atom.

Density functional theory data (GGA-PBEsol) for a relaxed NbSb2RuPt crystal.

Cell: 5.1754 5.1754 4.5693 Å, 90.00 90.00 90.00°
Sites, in units of the cell vectors:
Nb: 0.0000 0.0000 0.0000
Sb: 0.0000 0.5000 0.0000
Sb: 0.5000 0.0000 0.0000
Ru: 0.0000 0.0000 0.5000
Pt: 0.5000 0.5000 0.5000

Summary:
The calculated density comes out at 8.58 g/cm3. For the density of states at the Fermi level, the calculation gives 0.9497 states/eV/atom. As for the space group: P4/mmm, No. 123. The formation energy from raw total energies comes out at 1.291 eV per atom.

Density functional theory data (GGA-PBEsol) for a relaxed ZrHPd3 crystal.

Cell: 4.0345 4.0345 4.0345 Å, 90.00 90.00 90.00°
Sites, in units of the cell vectors:
Zr: 0.0000 0.0000 0.0000
H: 0.5000 0.5000 0.5000
Pd: 0.0000 0.5000 0.5000
Pd: 0.5000 0.0000 0.5000
Pd: 0.5000 0.5000 0.0000

Summary:
The calculated density comes out at 10.41 g/cm3. Its total energy is -6.53 eV per atom. For the density of states at the Fermi level, the calculation gives 1.3869 states/eV/atom. As for the space group: Pm-3m, No. 221.

Density functional theory data (GGA-PBEsol) for a relaxed CrMo3 crystal.

Cell: 5.0656 5.0656 5.0656 Å, 116.99 116.99 116.99°
Sites, in units of the cell vectors:
Cr: 0.0000 0.0000 0.0000
Mo: 0.0000 0.5000 0.5000
Mo: 0.5000 0.0000 0.5000
Mo: 0.5000 0.5000 0.0000

Summary:
The calculated density comes out at 9.82 g/cm3. For the density of states at the Fermi level, the calculation gives 0.6740 states/eV/atom. As for the space group: R-3m, No. 166. The value obtained for the formation energy is 0.080 eV per atom.

Density functional theory data (GGA-PBEsol) for a relaxed BiRu2Rh2 crystal.

Cell: 6.1481 6.1481 6.1481 Å, 142.51 142.51 54.07°
Sites, in units of the cell vectors:
Bi: 0.0000 0.0000 0.0000
Ru: 0.3953 0.3953 0.0000
Ru: 0.6047 0.6047 0.0000
Rh: 0.2500 0.7500 0.5000
Rh: 0.7500 0.2500 0.5000

Summary:
The calculated density comes out at 11.98 g/cm3. For the density of states at the Fermi level, the calculation gives 0.9628 states/eV/atom. As for the space group: I4/mmm, No. 139. The value obtained for the formation energy is 0.530 eV per atom.

Density functional theory data (GGA-PBEsol) for a relaxed Be4AlRe crystal.

Cell: 4.3559 4.3559 4.3559 Å, 60.00 60.00 60.00°
Sites, in units of the cell vectors:
Be: 0.3779 0.3779 0.3779
Be: 0.3779 0.3779 0.8663
Be: 0.3779 0.8663 0.3779
Be: 0.8663 0.3779 0.3779
Al: 0.0000 0.0000 0.0000
Re: 0.7500 0.7500 0.7500

Summary:
The calculated density comes out at 7.08 g/cm3. For the density of states at the Fermi level, the calculation gives 0.5320 states/eV/atom. As for the space group: F-43m, No. 216. The value obtained for the formation energy is -0.184 eV per atom.

Density functional theory data (GGA-PBEsol) for a relaxed AgPbW3 crystal.

Cell: 4.9254 4.9254 4.9254 Å, 90.00 90.00 90.00°
Sites, in units of the cell vectors:
Ag: 0.0000 0.0000 0.0000
Pb: 0.5000 0.5000 0.5000
W: 0.0000 0.5000 0.5000
W: 0.5000 0.0000 0.5000
W: 0.5000 0.5000 0.0000

Summary:
The calculated density comes out at 12.04 g/cm3. For the density of states at the Fermi level, the calculation gives 1.5001 states/eV/atom. As for the space group: Pm-3m, No. 221. The value obtained for the formation energy is 3.378 eV per atom.

Density functional theory data (GGA-PBEsol) for a relaxed Tl2SbMo crystal.

Cell: 10.4248 10.4248 10.4248 Å, 18.02 18.02 18.02°
Sites, in units of the cell vectors:
Tl: 0.0000 0.0000 0.0000
Tl: 0.2405 0.2405 0.2405
Sb: 0.7713 0.7713 0.7713
Mo: 0.5014 0.5014 0.5014

Summary:
The calculated density comes out at 10.98 g/cm3. For the density of states at the Fermi level, the calculation gives 0.3070 states/eV/atom. As for the space group: R3m, No. 160. For the excess energy over the best structure of this formula in the dataset, the calculation gives 0.0 meV/atom. The formation energy from raw total energies comes out at 0.305 eV per atom.

Density functional theory data (GGA-PBEsol) for a relaxed Li2TaTl crystal.

Cell: 5.8008 5.8008 5.8008 Å, 103.38 103.38 122.49°
Sites, in units of the cell vectors:
Li: 0.1083 0.6250 0.9833
Li: 0.3750 0.3583 0.4833
Li: 0.6417 0.1250 0.0167
Li: 0.8750 0.8917 0.5167
Ta: 0.2500 0.7500 0.5000
Ta: 0.5000 0.5000 0.0000
Tl: 0.0000 0.0000 0.0000
Tl: 0.7500 0.2500 0.5000

Summary:
The calculated density comes out at 9.19 g/cm3. For the density of states at the Fermi level, the calculation gives 0.8034 states/eV/atom. As for the space group: I-42d, No. 122. The value obtained for the formation energy is 0.743 eV per atom.

Density functional theory data (GGA-PBEsol) for a relaxed Ba2CaTe2 crystal.

Cell: 8.8497 8.8497 4.7451 Å, 90.00 90.00 90.00°
Sites, in units of the cell vectors:
Ba: 0.1511 0.3489 0.0000
Ba: 0.3489 0.8489 0.0000
Ba: 0.6511 0.1511 0.0000
Ba: 0.8489 0.6511 0.0000
Ca: 0.0000 0.0000 0.5000
Ca: 0.5000 0.5000 0.5000
Te: 0.1562 0.6562 0.5000
Te: 0.3438 0.1562 0.5000
Te: 0.6562 0.8438 0.5000
Te: 0.8438 0.3438 0.5000

Summary:
The calculated density comes out at 5.09 g/cm3. For the density of states at the Fermi level, the calculation gives 0.3418 states/eV/atom. As for the space group: P4/mbm, No. 127. For the excess energy over the best structure of this formula in the dataset, the calculation gives 0.0 meV/atom. The formation energy from raw total energies comes out at -1.364 eV per atom.